[1]
NdErMg2Pd4 (PBE, relaxed); energy of formation = -17.8 kcal/mol of atoms; space group = R-3m
1.0
-2.911 -0.914 -3.453
-4.356 -1.192 0.914
-4.782 7.732 -1.090
Pd Er Nd Mg
4 1 1 2
direct
0.881 0.881 0.358
0.607 0.607 0.178
0.119 0.119 0.642
0.393 0.393 0.822
0.500 0.500 0.500
0.000 0.000 0.000
0.245 0.245 0.265
0.755 0.755 0.735



[2]
Pm2Nd6Er3Mg (PBE, relaxed); energy of formation = 0.3 kcal/mol of atoms; space group = C2/m
1.0
6.243 -0.003 -0.008
-3.123 5.406 -0.008
-1.029 -1.782 11.678
Mg Nd Er Pm
1 6 3 2
direct
0.000 0.000 0.000
0.248 0.248 0.747
0.752 0.752 0.253
0.917 0.586 0.748
0.083 0.414 0.252
0.586 0.917 0.748
0.414 0.083 0.252
0.500 0.500 0.500
0.166 0.834 0.500
0.834 0.166 0.500
0.667 0.333 0.000
0.333 0.667 0.000



[3]
Pm6NdEr2Mg (PBE, relaxed); energy of formation = 2.5 kcal/mol of atoms; space group = C2/c
1.0
-3.849 -0.465 8.675
-5.724 -5.085 -3.897
6.839 -4.919 1.686
Pm Mg Er Nd
12 2 4 2
direct
0.904 0.328 0.564
0.096 0.672 0.436
0.171 0.536 0.967
0.329 0.033 0.464
0.074 0.078 0.739
0.926 0.922 0.261
0.829 0.464 0.033
0.574 0.739 0.078
0.404 0.564 0.328
0.671 0.967 0.536
0.596 0.436 0.672
0.426 0.261 0.922
0.250 0.402 0.598
0.750 0.598 0.402
0.594 0.201 0.270
0.094 0.270 0.201
0.406 0.799 0.730
0.906 0.730 0.799
0.750 0.064 0.936
0.250 0.936 0.064



[4]
PmNd4Er2Mg (PBE, relaxed); energy of formation = 0.1 kcal/mol of atoms; space group = P4/mmm
1.0
5.089 0.000 0.000
0.000 4.830 1.609
0.000 1.663 11.103
Nd Pm Er Mg
4 1 2 1
direct
0.000 0.755 0.744
0.500 0.256 0.744
0.500 0.744 0.256
0.000 0.245 0.256
0.500 0.500 0.000
0.000 0.000 0.000
0.500 0.000 0.500
0.000 0.500 0.500



[5]
Pm4Nd2ErMg (PBE, relaxed); energy of formation = 0.3 kcal/mol of atoms; space group = P4/mmm
1.0
5.061 0.000 0.000
0.000 4.947 1.074
0.000 2.784 11.034
Mg Nd Pm Er
1 2 4 1
direct
0.500 0.500 0.000
0.000 0.000 0.000
0.500 0.000 0.500
0.000 0.251 0.248
0.500 0.249 0.751
0.000 0.749 0.752
0.500 0.751 0.249
0.000 0.500 0.500



[6]
Pm2NdEr4Mg (PBE, relaxed); energy of formation = 0.7 kcal/mol of atoms; space group = P4/mmm
1.0
4.963 0.000 0.000
0.000 4.744 1.482
0.000 1.717 11.169
Pm Er Nd Mg
2 4 1 1
direct
0.000 0.000 0.000
0.500 0.000 0.500
0.500 0.253 0.746
0.500 0.747 0.254
0.000 0.247 0.254
0.000 0.753 0.746
0.500 0.500 0.000
0.000 0.500 0.500